Material: Pm3HoIr3
Method: DFT, PBE
State: relaxed

ΔE_f (eV per atom): -0.64
Mass density (g/cm3): 10.8

Structure (CIF):
```
data_Pm3HoIr3
_space_group_name_H-M_alt 'R -3'
_space_group_IT_number 148
_space_group_name_Hall '-R 3'
_cell_length_a 8.5447
_cell_length_b 8.5447
_cell_length_c 17.2169
_cell_angle_alpha 90.00
_cell_angle_beta 90.00
_cell_angle_gamma 120.00
loop_
_atom_site_label
_atom_site_type_symbol
_atom_site_fract_x
_atom_site_fract_y
_atom_site_fract_z
Pm1 Pm 0.0162 0.2849 0.1010
Ho1 Ho 0.0000 0.0000 0.3256
Ir1 Ir 0.0077 0.3793 0.9367
```